Entry 1:
A plane-wave DFT calculation with GGA-PBE was carried out for an optimized crystal structure of Ge2BO4.

Output
crystal system = tetragonal
total magnetization = 0.059 μB/atom
E = -5.46 eV/atom
ρ = 3062 kg/m3
raw formation energy = -353 meV per atom

Cell lengths 5.4313, 5.4313, 5.4313 Å; angles 103.92, 103.92, 121.26 degrees
With the nearest neighbours (Å) after each atom.
Fractional positions:
Ge1 0.2500 0.7500 0.5000  4 O 1.85
Ge2 0.7500 0.2500 0.5000  4 O 1.85
B1 0.5000 0.5000 0.0000  4 O 2.41
O1 0.3898 0.1566 0.5464  2 Ge 1.85
O2 0.8434 0.3898 0.2333  2 Ge 1.85
O3 0.1566 0.6102 0.7667  2 Ge 1.85
O4 0.6102 0.8434 0.4536  2 Ge 1.85



Entry 2:
A plane-wave DFT calculation with GGA-PBE was carried out for an optimized crystal structure of YRe3H.

Output
crystal system = cubic
total magnetization = 0.000 μB/atom
E = -8.90 eV/atom
ρ = 15031 kg/m3

Cell lengths 4.1534, 4.1534, 4.1534 Å; angles 90.00, 90.00, 90.00 degrees
With the nearest neighbours (Å) after each atom.
Fractional positions:
Y1 0.5000 0.5000 0.5000  12 Re 2.94
Re1 0.0000 0.5000 0.0000  2 H 2.08
Re2 0.0000 0.0000 0.5000  2 H 2.08
Re3 0.5000 0.0000 0.0000  2 H 2.08
H1 0.0000 0.0000 0.0000  6 Re 2.08



Entry 3:
A plane-wave DFT calculation with GGA-PBE was carried out for an optimized crystal structure of BaTaW2.

Output
crystal system = monoclinic
total magnetization = 0.000 μB/atom
E = -9.10 eV/atom
ρ = 11784 kg/m3

Cell lengths 4.2256, 3.0125, 7.5964 Å; angles 91.57, 90.00, 90.00 degrees
With the nearest neighbours (Å) after each atom.
Fractional positions:
Ba1 0.0000 0.6430 0.4884  2 Ba 3.01
W1 0.0000 0.9759 0.0115  2 W 2.60, 2 Ta 2.76
W2 0.5000 0.3285 0.1563  1 Ta 2.49, 2 W 2.60
Ta1 0.5000 0.5526 0.8438  3 W 2.49-2.76